(1)
A geometry-optimized La2InNiPb structure. Source: Alexandria via LeMat-Bulk, functional PBE.

Unit cell a=5.3943 b=5.3943 c=4.9670 alpha=90.00 beta=90.00 gamma=90.00
Last column: nearest neighbours and their distance in Å.
Space group P4/mmm (No. 123)
Asymmetric unit:
La1 0.0000 0.5000 0.0000 x2  2 Ni 2.70
In1 0.0000 0.0000 0.5000 x1  2 Ni 2.48
Ni1 0.0000 0.0000 0.0000 x1  2 In 2.48, 4 La 2.70
Pb1 0.5000 0.5000 0.5000 x1  8 La 3.67, 4 In 3.81

Computed properties:
* crystal system: tetragonal
* ΔE_f: -0.4601 eV per atom
* magnetization: 0.000 μB per cell

(2)
A geometry-optimized LaIn2NiPb structure. Source: Alexandria via LeMat-Bulk, functional PBE.

Unit cell a=4.9780 b=4.9780 c=5.2660 alpha=90.00 beta=90.00 gamma=90.00
Last column: nearest neighbours and their distance in Å.
Space group P4/mmm (No. 123)
Asymmetric unit:
La1 0.0000 0.0000 0.0000 x1  4 Pb 3.52, 8 In 3.62
In1 0.0000 0.5000 0.5000 x2  2 Ni 2.49
Ni1 0.5000 0.5000 0.5000 x1  4 In 2.49, 2 Pb 2.63
Pb1 0.5000 0.5000 0.0000 x1  2 Ni 2.63

Computed properties:
* crystal system: tetragonal
* ΔE_f: -0.2013 eV per atom
* magnetization: 0.000 μB per cell

(3)
A geometry-optimized LaInNiPd structure. Source: Alexandria via LeMat-Bulk, functional PBE.

Unit cell a=6.9025 b=6.9025 c=6.9025 alpha=90.00 beta=90.00 gamma=90.00
Last column: nearest neighbours and their distance in Å.
Space group F-43m (No. 216)
Asymmetric unit:
La1 0.0000 0.0000 0.0000 x4  4 Ni 2.99, 4 Pd 2.99
In1 0.0000 0.0000 0.5000 x4  4 Pd 2.99, 4 Ni 2.99
Ni1 0.2500 0.2500 0.2500 x4  4 In 2.99, 4 La 2.99
Pd1 0.2500 0.2500 0.7500 x4  4 In 2.99, 4 La 2.99

Computed properties:
* crystal system: cubic
* ΔE_f: -0.4662 eV per atom
* magnetization: 0.000 μB per cell

(4)
A geometry-optimized La3PrInNi structure. Source: Alexandria via LeMat-Bulk, functional PBE.

Unit cell a=13.2001 b=7.2301 c=7.7879 alpha=90.00 beta=92.06 gamma=90.00
Last column: nearest neighbours and their distance in Å.
Space group C2/m (No. 12)
Asymmetric unit:
La1 0.1259 0.2344 0.4175 x8  2 Ni 2.76-3.06
La2 0.2143 0.0000 0.8699 x4  1 Ni 2.77
Pr1 0.0000 0.2631 0.0000 x4  2 Ni 3.09, 2 In 3.36, 1 Pr 3.43
In1 0.1613 0.5000 0.7585 x4  5 La 3.28-3.59, 2 Pr 3.36
Ni1 0.0281 0.0000 0.6931 x4  5 La 2.76-3.06, 1 Ni 3.07, 2 Pr 3.09

Computed properties:
* crystal system: monoclinic
* ΔE_f: -0.2029 eV per atom
* magnetization: 0.000 μB per cell

(5)
A geometry-optimized La2InNi2Pt5 structure. Source: Alexandria via LeMat-Bulk, functional PBE.

Unit cell a=9.4927 b=9.4927 c=4.0535 alpha=90.00 beta=90.00 gamma=90.00
Last column: nearest neighbours and their distance in Å.
Space group P4/mbm (No. 127)
Asymmetric unit:
La1 0.1754 0.3246 0.0000 x4  3 Ni 2.72-2.87
In1 0.0000 0.0000 0.0000 x2  8 Pt 2.93
Ni1 0.1221 0.6221 0.0000 x4  6 Pt 2.61-2.62, 3 La 2.72-2.87
Pt1 0.0000 0.5000 0.5000 x2  4 Ni 2.61, 4 Pt 2.81
Pt2 0.0685 0.7882 0.5000 x8  2 Ni 2.62, 1 Pt 2.81, 2 In 2.93

Computed properties:
* crystal system: tetragonal
* ΔE_f: -0.8001 eV per atom
* magnetization: 0.000 μB per cell

(6)
A geometry-optimized LaInNiPt3 structure. Source: Alexandria via LeMat-Bulk, functional PBE.

Unit cell a=5.7755 b=13.0417 c=6.1325 alpha=90.00 beta=90.00 gamma=90.00
Last column: nearest neighbours and their distance in Å.
Space group Cmcm (No. 63)
Asymmetric unit:
La1 0.0000 0.1964 0.2500 x4  1 Ni 2.50
In1 0.0000 0.1355 0.7500 x4  5 Pt 2.71-2.76, 2 Ni 2.90
Ni1 0.0000 0.3880 0.2500 x4  1 La 2.50, 4 Pt 2.56
Pt1 0.0000 0.3433 0.7500 x4  1 In 2.71, 4 Pt 2.93, 2 La 2.93
Pt2 0.2480 0.5000 0.0000 x8  2 Ni 2.56, 2 In 2.76

Computed properties:
* crystal system: orthorhombic
* ΔE_f: -0.4823 eV per atom
* magnetization: 0.000 μB per cell

(7)
A geometry-optimized La2InNi3Pt12 structure. Source: Alexandria via LeMat-Bulk, functional PBE.

Unit cell a=8.1637 b=8.1637 c=19.0773 alpha=90.00 beta=90.00 gamma=120.00
Last column: nearest neighbours and their distance in Å.
Space group R-3m (No. 166, hexagonal axes)
Asymmetric unit:
La1 0.0000 0.0000 0.1118 x6  6 Pt 2.81-2.84
In1 0.0000 0.0000 0.5000 x3  6 Pt 2.62
Ni1 0.0000 0.5000 0.0000 x9  6 Pt 2.43-2.44
Pt1 0.0132 0.5066 0.3728 x18  2 Ni 2.43
Pt2 0.0221 0.5111 0.8723 x18  1 Ni 2.44, 1 In 2.62

Computed properties:
* crystal system: trigonal
* ΔE_f: -0.0721 eV per atom
* magnetization: 11.907 μB per cell

(8)
A geometry-optimized LaInNiPt structure. Source: Alexandria via LeMat-Bulk, functional PBE.

Unit cell a=6.9059 b=6.9059 c=6.9059 alpha=90.00 beta=90.00 gamma=90.00
Last column: nearest neighbours and their distance in Å.
Space group F-43m (No. 216)
Asymmetric unit:
La1 0.0000 0.0000 0.0000 x4  4 Pt 2.99, 4 Ni 2.99
In1 0.0000 0.0000 0.5000 x4  4 Ni 2.99, 4 Pt 2.99
Ni1 0.2500 0.2500 0.2500 x4  4 La 2.99, 4 In 2.99
Pt1 0.2500 0.2500 0.7500 x4  4 In 2.99, 4 La 2.99

Computed properties:
* crystal system: cubic
* ΔE_f: -0.5311 eV per atom
* magnetization: 0.000 μB per cell

(9)
A geometry-optimized La6In2NiRh structure. Source: Alexandria via LeMat-Bulk, functional PBE.

Unit cell a=7.5752 b=7.6672 c=7.7314 alpha=119.07 beta=118.74 gamma=90.14
Last column: nearest neighbours and their distance in Å.
Space group P-1 (No. 2)
Asymmetric unit:
La1 0.1674 0.1732 0.4589 x2  1 Ni 2.76, 1 Rh 2.81
La2 0.2625 0.7189 0.9992 x2  1 Ni 2.82, 1 Rh 2.84
La3 0.3151 0.6938 0.5146 x2  1 Ni 2.73, 1 Rh 2.81
In1 0.2486 0.2565 0.0019 x2  6 La 3.35-3.71
Ni1 0.0000 0.5000 0.5000 x1  6 La 2.73-2.82
Rh1 0.5000 0.0000 0.5000 x1  6 La 2.81-2.84

Computed properties:
* crystal system: triclinic
* ΔE_f: -0.3794 eV per atom
* magnetization: 0.001 μB per cell

(10)
A geometry-optimized LaInNiRh structure. Source: Alexandria via LeMat-Bulk, functional PBE.

Unit cell a=6.8178 b=6.8178 c=6.8178 alpha=90.00 beta=90.00 gamma=90.00
Last column: nearest neighbours and their distance in Å.
Space group F-43m (No. 216)
Asymmetric unit:
La1 0.0000 0.0000 0.0000 x4  4 Ni 2.95, 4 Rh 2.95
In1 0.0000 0.0000 0.5000 x4  4 Rh 2.95, 4 Ni 2.95
Ni1 0.2500 0.2500 0.7500 x4  4 In 2.95, 4 La 2.95
Rh1 0.2500 0.2500 0.2500 x4  4 In 2.95, 4 La 2.95

Computed properties:
* crystal system: cubic
* ΔE_f: -0.3919 eV per atom
* magnetization: 0.000 μB per cell

(11)
A geometry-optimized LaIn2NiRu structure. Source: Alexandria via LeMat-Bulk, functional PBE.

Unit cell a=5.1494 b=5.1494 c=5.1751 alpha=90.00 beta=90.00 gamma=90.00
Last column: nearest neighbours and their distance in Å.
Space group P4/mmm (No. 123)
Asymmetric unit:
La1 0.0000 0.0000 0.0000 x1  2 Ru 2.59
In1 0.0000 0.5000 0.5000 x2  2 Ru 2.57
Ni1 0.5000 0.5000 0.0000 x1  4 La 3.64, 8 In 3.65
Ru1 0.0000 0.0000 0.5000 x1  4 In 2.57, 2 La 2.59

Computed properties:
* crystal system: tetragonal
* ΔE_f: 0.2269 eV per atom
* magnetization: 0.000 μB per cell

(12)
A geometry-optimized La6In2NiRu structure. Source: Alexandria via LeMat-Bulk, functional PBE.

Unit cell a=7.5933 b=7.6092 c=7.7334 alpha=60.62 beta=60.83 gamma=89.97
Last column: nearest neighbours and their distance in Å.
Space group P-1 (No. 2)
Asymmetric unit:
La1 0.1876 0.1881 0.0132 x2  1 Ni 2.75, 1 Ru 2.76
La2 0.2506 0.7379 0.4971 x2  1 Ru 2.78, 1 Ni 2.81
La3 0.3119 0.7015 0.9855 x2  1 Ni 2.75, 1 Ru 2.76
In1 0.2480 0.2532 0.4996 x2  7 La 3.44-3.82
Ni1 0.0000 0.5000 0.0000 x1  6 La 2.75-2.81
Ru1 0.5000 0.0000 0.0000 x1  6 La 2.76-2.78

Computed properties:
* crystal system: triclinic
* ΔE_f: -0.3196 eV per atom
* magnetization: 0.000 μB per cell

(13)
A geometry-optimized La2InNi4Sb3 structure. Source: Alexandria via LeMat-Bulk, functional PBE.

Unit cell a=4.4546 b=4.4546 c=10.2998 alpha=90.00 beta=90.00 gamma=90.00
Last column: nearest neighbours and their distance in Å.
Space group P-4m2 (No. 115)
Asymmetric unit:
La1 0.0000 0.5000 0.2366 x2  8 Ni 3.30-3.44, 6 Sb 3.35-3.51, 2 In 3.51
In1 0.0000 0.0000 0.5000 x1  4 Ni 2.60
Ni1 0.0000 0.0000 0.0000 x1  4 Sb 2.58
Ni2 0.0000 0.5000 0.6297 x2  3 Sb 2.51-2.60, 2 In 2.60
Ni3 0.5000 0.5000 0.0000 x1  4 Sb 2.58
Sb1 0.0000 0.5000 0.8736 x2  5 Ni 2.51-2.58
Sb2 0.5000 0.5000 0.5000 x1  4 Ni 2.60

Computed properties:
* formation energy from raw total energies: -0.662 eV/atom
* crystal system: tetragonal
* magnetization: 0.000 μB per cell

(14)
A geometry-optimized LaIn2NiSb structure. Source: Alexandria via LeMat-Bulk, functional PBE.

Unit cell a=4.9802 b=4.9802 c=5.2537 alpha=90.00 beta=90.00 gamma=90.00
Last column: nearest neighbours and their distance in Å.
Space group P4/mmm (No. 123)
Asymmetric unit:
La1 0.0000 0.0000 0.0000 x1  2 Ni 2.63
In1 0.0000 0.5000 0.5000 x2  2 Ni 2.49
Ni1 0.0000 0.0000 0.5000 x1  4 In 2.49, 2 La 2.63
Sb1 0.5000 0.5000 0.0000 x1  4 La 3.52, 8 In 3.62

Computed properties:
* formation energy from raw total energies: -0.472 eV/atom
* crystal system: tetragonal
* magnetization: 0.000 μB per cell

(15)
A geometry-optimized LaSc2InNi structure. Source: Alexandria via LeMat-Bulk, functional PBE.

Unit cell a=4.9939 b=4.9939 c=4.9999 alpha=90.00 beta=90.00 gamma=90.00
Last column: nearest neighbours and their distance in Å.
Space group P4/mmm (No. 123)
Asymmetric unit:
La1 0.0000 0.0000 0.0000 x1  4 In 3.53, 8 Sc 3.53
Sc1 0.0000 0.5000 0.5000 x2  2 Ni 2.50
In1 0.5000 0.5000 0.0000 x1  2 Ni 2.50
Ni1 0.5000 0.5000 0.5000 x1  4 Sc 2.50, 2 In 2.50

Computed properties:
* crystal system: tetragonal
* ΔE_f: -0.1699 eV per atom
* magnetization: 1.682 μB per cell

(16)
A geometry-optimized La2ScInNi structure. Source: Alexandria via LeMat-Bulk, functional PBE.

Unit cell a=5.2862 b=5.2862 c=5.1712 alpha=90.00 beta=90.00 gamma=90.00
Last column: nearest neighbours and their distance in Å.
Space group P4/mmm (No. 123)
Asymmetric unit:
La1 0.0000 0.5000 0.0000 x2  2 Ni 2.64
Sc1 0.0000 0.0000 0.5000 x1  2 Ni 2.59
In1 0.5000 0.5000 0.5000 x1  8 La 3.70, 4 Sc 3.74
Ni1 0.0000 0.0000 0.0000 x1  2 Sc 2.59, 4 La 2.64

Computed properties:
* crystal system: tetragonal
* ΔE_f: -0.2330 eV per atom
* magnetization: 0.000 μB per cell

(17)
A geometry-optimized La2InNiSn structure. Source: Alexandria via LeMat-Bulk, functional PBE.

Unit cell a=5.4104 b=5.4104 c=4.8974 alpha=90.00 beta=90.00 gamma=90.00
Last column: nearest neighbours and their distance in Å.
Space group P4/mmm (No. 123)
Asymmetric unit:
La1 0.0000 0.5000 0.0000 x2  2 Ni 2.71
In1 0.0000 0.0000 0.5000 x1  8 La 3.65, 4 Sn 3.83
Ni1 0.5000 0.5000 0.0000 x1  2 Sn 2.45, 4 La 2.71
Sn1 0.5000 0.5000 0.5000 x1  2 Ni 2.45

Computed properties:
* crystal system: tetragonal
* ΔE_f: -0.4444 eV per atom
* magnetization: 0.000 μB per cell

(18)
A geometry-optimized La2InNiSn structure. Source: Alexandria via LeMat-Bulk, functional PBE.

Unit cell a=5.3653 b=5.3653 c=4.9396 alpha=90.00 beta=90.00 gamma=90.00
Last column: nearest neighbours and their distance in Å.
Space group P4/mmm (No. 123)
Asymmetric unit:
La1 0.0000 0.5000 0.0000 x2  2 Ni 2.68
In1 0.0000 0.0000 0.5000 x1  2 Ni 2.47
Ni1 0.0000 0.0000 0.0000 x1  2 In 2.47, 4 La 2.68
Sn1 0.5000 0.5000 0.5000 x1  8 La 3.65, 4 In 3.79

Computed properties:
* crystal system: tetragonal
* ΔE_f: -0.4961 eV per atom
* magnetization: 0.000 μB per cell

(19)
A geometry-optimized SrLa2InNi structure. Source: Alexandria via LeMat-Bulk, functional PBE.

Unit cell a=5.3920 b=5.3920 c=5.7510 alpha=90.00 beta=90.00 gamma=90.00
Last column: nearest neighbours and their distance in Å.
Space group P4/mmm (No. 123)
Asymmetric unit:
Sr1 0.0000 0.0000 0.0000 x1  2 Ni 2.88
La1 0.0000 0.5000 0.5000 x2  2 Ni 2.70
In1 0.5000 0.5000 0.0000 x1  4 Sr 3.81, 8 La 3.94
Ni1 0.0000 0.0000 0.5000 x1  4 La 2.70, 2 Sr 2.88

Computed properties:
* crystal system: tetragonal
* ΔE_f: -0.1763 eV per atom
* magnetization: 0.000 μB per cell

(20)
A geometry-optimized SrLa2InNi structure. Source: Alexandria via LeMat-Bulk, functional PBE.

Unit cell a=5.5355 b=5.5355 c=5.2054 alpha=90.00 beta=90.00 gamma=90.00
Last column: nearest neighbours and their distance in Å.
Space group P4/mmm (No. 123)
Asymmetric unit:
Sr1 0.0000 0.0000 0.0000 x1  8 La 3.80, 4 In 3.91
La1 0.0000 0.5000 0.5000 x2  2 Ni 2.77
In1 0.5000 0.5000 0.0000 x1  2 Ni 2.60
Ni1 0.5000 0.5000 0.5000 x1  2 In 2.60, 4 La 2.77

Computed properties:
* crystal system: tetragonal
* ΔE_f: -0.1882 eV per atom
* magnetization: 0.000 μB per cell

(21)
A geometry-optimized La6In2TcNi structure. Source: Alexandria via LeMat-Bulk, functional PBE.

Unit cell a=7.6250 b=7.6288 c=7.7029 alpha=119.46 beta=119.25 gamma=90.37
Last column: nearest neighbours and their distance in Å.
Space group P1 (No. 1)
Asymmetric unit:
La1 0.0000 0.0000 0.0000 x1  1 Ni 2.79, 1 Tc 2.91
La2 0.0320 0.5287 0.4996 x1  1 Tc 2.58, 1 Ni 2.75
La3 0.4319 0.9297 0.4918 x1  1 Ni 2.76, 1 Tc 2.93
La4 0.4747 0.4725 0.9916 x1  1 Tc 2.60, 1 Ni 2.80
La5 0.5446 0.4392 0.5142 x1  1 Ni 2.75, 1 Tc 2.91
La6 0.9280 0.0182 0.4756 x1  1 Tc 2.59, 1 Ni 2.74
In1 0.4835 0.9888 0.9987 x1  6 La 3.47-3.72
In2 0.9847 0.4831 0.9978 x1  6 La 3.43-3.76
Tc1 0.2175 0.2511 0.5224 x1  3 La 2.58-2.60
Ni1 0.7342 0.7320 0.4966 x1  6 La 2.74-2.80

Computed properties:
* crystal system: triclinic
* ΔE_f: -0.2398 eV per atom
* magnetization: 0.000 μB per cell

(22)
A geometry-optimized LaTiInNi2 structure. Source: Alexandria via LeMat-Bulk, functional PBE.

Unit cell a=4.6073 b=4.6073 c=5.3529 alpha=90.00 beta=90.00 gamma=90.00
Last column: nearest neighbours and their distance in Å.
Space group P4/mmm (No. 123)
Asymmetric unit:
La1 0.0000 0.0000 0.0000 x1  2 Ti 2.68
Ti1 0.0000 0.0000 0.5000 x1  4 Ni 2.30
In1 0.5000 0.5000 0.0000 x1  4 La 3.26, 8 Ni 3.53
Ni1 0.0000 0.5000 0.5000 x2  2 Ti 2.30

Computed properties:
* crystal system: tetragonal
* ΔE_f: 0.5975 eV per atom
* magnetization: 0.000 μB per cell

(23)
A geometry-optimized La2TmIn12Ni3 structure. Source: Alexandria via LeMat-Bulk, functional PBE.

Unit cell a=9.3336 b=9.3336 c=19.3035 alpha=90.00 beta=90.00 gamma=120.00
Last column: nearest neighbours and their distance in Å.
Space group R-3m (No. 166, hexagonal axes)
Asymmetric unit:
La1 0.0000 0.0000 0.0765 x6  1 La 2.95, 3 In 3.23
Tm1 0.0000 0.0000 0.5000 x3  12 In 3.42-3.47
In1 0.0707 0.5354 0.3092 x18  2 Ni 2.50
In2 0.0788 0.5394 0.8724 x18  1 Ni 2.54
Ni1 0.0000 0.5000 0.0000 x9  6 In 2.50-2.54

Computed properties:
* crystal system: trigonal
* ΔE_f: -0.0528 eV per atom
* magnetization: 0.000 μB per cell

(24)
A geometry-optimized La2YInNi structure. Source: Alexandria via LeMat-Bulk, functional PBE.

Unit cell a=5.2734 b=5.2734 c=5.4945 alpha=90.00 beta=90.00 gamma=90.00
Last column: nearest neighbours and their distance in Å.
Space group P4/mmm (No. 123)
Asymmetric unit:
La1 0.0000 0.5000 0.0000 x2  2 Ni 2.64
Y1 0.0000 0.0000 0.5000 x1  2 Ni 2.75
In1 0.5000 0.5000 0.5000 x1  4 Y 3.73, 8 La 3.81
Ni1 0.0000 0.0000 0.0000 x1  4 La 2.64, 2 Y 2.75

Computed properties:
* crystal system: tetragonal
* ΔE_f: -0.2563 eV per atom
* magnetization: 0.000 μB per cell

(25)
A geometry-optimized LaY2InNi structure. Source: Alexandria via LeMat-Bulk, functional PBE.

Unit cell a=5.3493 b=5.3493 c=5.1502 alpha=90.00 beta=90.00 gamma=90.00
Last column: nearest neighbours and their distance in Å.
Space group P4/mmm (No. 123)
Asymmetric unit:
La1 0.0000 0.0000 0.0000 x1  2 Ni 2.58
Y1 0.0000 0.5000 0.5000 x2  2 Ni 2.67
In1 0.5000 0.5000 0.0000 x1  8 Y 3.71, 4 La 3.78
Ni1 0.0000 0.0000 0.5000 x1  2 La 2.58, 4 Y 2.67

Computed properties:
* crystal system: tetragonal
* ΔE_f: -0.2430 eV per atom
* magnetization: 0.000 μB per cell